VASP calculation (PBE with a Hubbard U) on an optimized crystal structure of Li2NbVO6.

a = 5.3482 Å, b = 5.3482 Å, c = 4.4778 Å
α = 90.00°, β = 90.00°, γ = 90.00°
Closest atoms and distances in Å follow each position.
Sites, in units of the cell vectors:
Li 0.0000 0.5000 0.0000  4 O 2.06
Li 0.5000 0.0000 0.0000  4 O 2.06
Nb 0.0000 0.0000 0.7075  1 O 1.79
V 0.5000 0.5000 0.7119  1 O 1.63
O 0.0000 0.0000 0.3076  1 Nb 1.79
O 0.2573 0.2573 0.8189  1 V 1.90, 1 Nb 2.01, 2 Li 2.06
O 0.2573 0.7427 0.8189  1 V 1.90, 1 Nb 2.01, 2 Li 2.06
O 0.5000 0.5000 0.3469  1 V 1.63
O 0.7427 0.2573 0.8189  1 V 1.90, 1 Nb 2.01, 2 Li 2.06
O 0.7427 0.7427 0.8189  1 V 1.90, 1 Nb 2.01, 2 Li 2.06

Properties
- Calculated volume: 12.808 Å³ per atom
- ρ: 3.290 Mg/m³
- Final energy: -7.2808 eV per atom